Nb12Al3In after structural relaxation, computed with PBE.

Cell lengths 5.2454, 5.2557, 10.4465 Å; angles 90.00, 90.00, 90.00 degrees
Sites, in units of the cell vectors:
Nb  0.0000  0.2547  0.2429
Nb  0.2448  0.5000  0.0000
Nb  0.2582  0.5000  0.5000
Nb  0.5000  0.0000  0.6300
Nb  0.5000  0.0000  0.8746
Nb  0.7552  0.5000  0.0000
Nb  0.5000  0.0000  0.3700
Nb  0.0000  0.7453  0.2429
Nb  0.5000  0.0000  0.1254
Nb  0.0000  0.7453  0.7571
Nb  0.7418  0.5000  0.5000
Nb  0.0000  0.2547  0.7571
Al  0.0000  0.0000  0.0000
Al  0.5000  0.5000  0.2503
Al  0.5000  0.5000  0.7497
In  0.0000  0.0000  0.5000

---

NbAl3In after structural relaxation, computed with PBE.

Calculated values
- Distance to the lowest polymorph of the same formula: 0.0 meV per atom

Cell lengths 5.1013, 5.1013, 5.1013 Å; angles 90.00, 90.00, 90.00 degrees
Sites, in units of the cell vectors:
Al  0.0000  0.0000  0.5000
Al  0.0000  0.5000  0.0000
Al  0.5000  0.0000  0.0000
In  0.5000  0.5000  0.5000
Nb  0.0000  0.0000  0.0000

---

no.,energy of formation from the pure elements (meV per atom)
1,-147
2,679